Entry 1:
A plane-wave DFT calculation with PBE-GGA was carried out for crystalline TbTlPd2 at its relaxed geometry.

## Properties
* space group: P4/mmm
* energy of formation: -0.553 eV per atom
* DOS(E_F): 0.44 states/eV per atom
* total magnetic moment: 0.000 μB/atom

Unit cell a=3.7308 b=4.6919 c=4.6919 alpha=90.00 beta=90.00 gamma=90.00
Fractional coordinates of all 4 atoms:
Tl 0.5000 0.0000 0.0000
Tb 0.5000 0.5000 0.5000
Pd 0.0000 0.0000 0.5000
Pd 0.0000 0.5000 0.0000

Entry 2:
A plane-wave DFT calculation with PBE-GGA was carried out for crystalline HfTlAg2F8 at its relaxed geometry.

## Properties
* space group: C2/m
* formation energy without anion corrections: -2.347 eV/atom
* DOS(E_F): 0.34 states/eV per atom
* total magnetic moment: 0.087 μB/atom

Unit cell a=5.3930 b=5.3930 c=8.0103 alpha=82.18 beta=82.18 gamma=84.76
Fractional coordinates of all 12 atoms:
Hf 0.0000 0.0000 0.0000
Tl 0.0000 0.0000 0.5000
Ag 0.5398 0.5398 0.2719
Ag 0.4602 0.4602 0.7281
F 0.8199 0.2005 0.8167
F 0.7425 0.7425 0.0368
F 0.6683 0.6683 0.5125
F 0.3317 0.3317 0.4875
F 0.2575 0.2575 0.9632
F 0.2005 0.8199 0.8167
F 0.7995 0.1801 0.1833
F 0.1801 0.7995 0.1833

Entry 3:
A plane-wave DFT calculation with PBE-GGA was carried out for crystalline DyZrS2 at its relaxed geometry.

## Properties
* polymorph energy (0 for the lowest one): 0 meV/atom
* space group: R-3m
* formation energy without anion corrections: -1.674 eV/atom
* DOS(E_F): 0.40 states/eV per atom
* total magnetic moment: 0.000 μB/atom

Unit cell a=3.8100 b=3.8100 c=6.5672 alpha=73.14 beta=73.14 gamma=60.00
Fractional coordinates of all 4 atoms:
S 0.2532 0.2532 0.2404
S 0.7468 0.7468 0.7596
Zr 0.0000 0.0000 0.0000
Dy 0.5000 0.5000 0.5000

| no. | electronic total energy (eV for the cell shown) |
| --- | --- |
| 1 | -19.59 |
| 2 | -61.16 |
| 3 | -28.10 |